The following is a PBE calculation of an optimized crystal structure of Na4NpO4, from Alexandria via LeMat-Bulk.

Cell lengths 6.008, 6.008, 9.798 Å; angles 90.00, 90.00, 90.00 degrees
Space group I-42m (No. 121)
Unique sites:
Na: 0.000 0.000 0.167 [4 per cell]
Na: 0.000 0.500 0.000 [4 per cell]
Np: 0.000 0.000 0.500 [2 per cell]
O: 0.222 0.222 0.590 [8 per cell]

Computed properties:
**Energy**: -5.942 eV/atom
**Energy relative to the elements, uncorrected**: -1.71 eV/atom
**Calculated volume**: 19.65 Å³/atom